Arrangement i

# PuMgSc | Alexandria | PBE-GGA | relaxed
# Crystal system ... tetragonal
data_PuMgSc
_chemical_formula_sum 'Pu2 Mg2 Sc2'
_cell_length_a 3.151
_cell_length_b 3.151
_cell_length_c 14.770
_cell_angle_alpha 90.00
_cell_angle_beta 90.00
_cell_angle_gamma 90.00
_space_group_name_H-M_alt 'I 4 m m'
_space_group_IT_number 107
_space_group_name_Hall 'I 4 -2'
loop_
_atom_site_label
_atom_site_type_symbol
_atom_site_fract_x
_atom_site_fract_y
_atom_site_fract_z
Pu1 Pu 0.000 0.000 0.000
Mg1 Mg 0.000 0.000 0.328
Sc1 Sc 0.000 0.000 0.668

Arrangement ii

# PuMgSc | Alexandria | PBE-GGA | relaxed
# Crystal system ... monoclinic
data_PuMgSc
_chemical_formula_sum 'Pu2 Mg2 Sc2'
_cell_length_a 3.308
_cell_length_b 5.148
_cell_length_c 8.702
_cell_angle_alpha 90.00
_cell_angle_beta 100.92
_cell_angle_gamma 90.00
_space_group_name_H-M_alt 'P 1 21/m 1'
_space_group_IT_number 11
loop_
_space_group_symop_operation_xyz
'x,y,z'
'-x,-y,-z'
'-x,y+1/2,-z'
'x,-y+1/2,z'
loop_
_atom_site_label
_atom_site_type_symbol
_atom_site_fract_x
_atom_site_fract_y
_atom_site_fract_z
Pu1 Pu 0.224 0.250 0.448
Mg1 Mg 0.445 0.750 0.891
Sc1 Sc 0.109 0.750 0.217

Arrangement iii

# PuMgSc | Alexandria | PBE-GGA | relaxed
# Crystal system ... trigonal
data_PuMgSc
_chemical_formula_sum 'Pu1 Mg1 Sc1'
_cell_length_a 3.2414
_cell_length_b 3.2414
_cell_length_c 8.2015
_cell_angle_alpha 90.00
_cell_angle_beta 90.00
_cell_angle_gamma 120.00
_space_group_name_H-M_alt 'P 3 m 1'
_space_group_IT_number 156
loop_
_space_group_symop_operation_xyz
'x,y,z'
'-y,x-y,z'
'-x+y,-x,z'
'-y,-x,z'
'-x+y,y,z'
'x,x-y,z'
loop_
_atom_site_label
_atom_site_type_symbol
_atom_site_fract_x
_atom_site_fract_y
_atom_site_fract_z
Pu1 Pu 0.0000 0.0000 0.0000
Mg1 Mg 0.6667 0.3333 0.3440
Sc1 Sc 0.3333 0.6667 0.6680

Stability comparison, relative energies in meV per atom: arrangement i 18; arrangement ii 0; arrangement iii 40

Arrangement i

# PuMgSc2 | Alexandria | PBE-GGA | relaxed
# Crystal system ... tetragonal
data_PuMgSc2
_chemical_formula_sum 'Pu1 Mg1 Sc2'
_cell_length_a 3.232
_cell_length_b 3.232
_cell_length_c 9.186
_cell_angle_alpha 90.00
_cell_angle_beta 90.00
_cell_angle_gamma 90.00
_space_group_name_H-M_alt 'P 4/m m m'
_space_group_IT_number 123
_space_group_name_Hall '-P 4 2'
loop_
_atom_site_label
_atom_site_type_symbol
_atom_site_fract_x
_atom_site_fract_y
_atom_site_fract_z
Pu1 Pu 0.000 0.000 0.000
Mg1 Mg 0.000 0.000 0.500
Sc1 Sc 0.500 0.500 0.252

Arrangement ii

# PuMgSc2 | Alexandria | PBE-GGA | relaxed
# Crystal system ... trigonal
data_PuMgSc2
_chemical_formula_sum 'Pu1 Mg1 Sc2'
_cell_length_a 3.2599
_cell_length_b 3.2599
_cell_length_c 10.5494
_cell_angle_alpha 90.00
_cell_angle_beta 90.00
_cell_angle_gamma 120.00
_space_group_name_H-M_alt 'P -3 m 1'
_space_group_IT_number 164
_space_group_name_Hall '-P 3 2"'
loop_
_atom_site_label
_atom_site_type_symbol
_atom_site_fract_x
_atom_site_fract_y
_atom_site_fract_z
Pu1 Pu 0.0000 0.0000 0.0000
Mg1 Mg 0.0000 0.0000 0.5000
Sc1 Sc 0.3333 0.6667 0.7504

Arrangement iii

# PuMgSc2 | Alexandria | PBE-GGA | relaxed
# Crystal system ... cubic
data_PuMgSc2
_chemical_formula_sum 'Pu4 Mg4 Sc8'
_cell_length_a 7.323
_cell_length_b 7.323
_cell_length_c 7.323
_cell_angle_alpha 90.00
_cell_angle_beta 90.00
_cell_angle_gamma 90.00
_space_group_name_H-M_alt 'F m -3 m'
_space_group_IT_number 225
_space_group_name_Hall '-F 4 2 3'
loop_
_atom_site_label
_atom_site_type_symbol
_atom_site_fract_x
_atom_site_fract_y
_atom_site_fract_z
Pu1 Pu 0.000 0.000 0.000
Mg1 Mg 0.000 0.000 0.500
Sc1 Sc 0.250 0.250 0.250

Arrangement iv

# PuMgSc2 | Alexandria | PBE-GGA | relaxed
# Crystal system ... trigonal
data_PuMgSc2
_chemical_formula_sum 'Pu3 Mg3 Sc6'
_cell_length_a 3.1762
_cell_length_b 3.1762
_cell_length_c 34.4044
_cell_angle_alpha 90.00
_cell_angle_beta 90.00
_cell_angle_gamma 120.00
_space_group_name_H-M_alt 'R -3 m'
_space_group_IT_number 166
_space_group_name_Hall '-R 3 2"'
loop_
_atom_site_label
_atom_site_type_symbol
_atom_site_fract_x
_atom_site_fract_y
_atom_site_fract_z
Pu1 Pu 0.0000 0.0000 0.0000
Mg1 Mg 0.0000 0.0000 0.5000
Sc1 Sc 0.0000 0.0000 0.0904

Stability comparison, relative energies in meV per atom: arrangement i 0; arrangement ii 17; arrangement iii 101; arrangement iv 213

Arrangement i

# Pu2MgSc | Alexandria | PBE-GGA | relaxed
# Crystal system ... tetragonal
data_Pu2MgSc
_chemical_formula_sum 'Pu2 Mg1 Sc1'
_cell_length_a 3.998
_cell_length_b 3.998
_cell_length_c 6.522
_cell_angle_alpha 90.00
_cell_angle_beta 90.00
_cell_angle_gamma 90.00
_space_group_name_H-M_alt 'P 4/m m m'
_space_group_IT_number 123
_space_group_name_Hall '-P 4 2'
loop_
_atom_site_label
_atom_site_type_symbol
_atom_site_fract_x
_atom_site_fract_y
_atom_site_fract_z
Pu1 Pu 0.000 0.000 0.247
Mg1 Mg 0.500 0.500 0.000
Sc1 Sc 0.500 0.500 0.500

Arrangement ii

# Pu2MgSc | Alexandria | PBE-GGA | relaxed
# Crystal system ... trigonal
data_Pu2MgSc
_chemical_formula_sum 'Pu6 Mg3 Sc3'
_cell_length_a 3.2330
_cell_length_b 3.2330
_cell_length_c 33.5889
_cell_angle_alpha 90.00
_cell_angle_beta 90.00
_cell_angle_gamma 120.00
_space_group_name_H-M_alt 'R -3 m'
_space_group_IT_number 166
_space_group_name_Hall '-R 3 2"'
loop_
_atom_site_label
_atom_site_type_symbol
_atom_site_fract_x
_atom_site_fract_y
_atom_site_fract_z
Pu1 Pu 0.0000 0.0000 0.2489
Mg1 Mg 0.0000 0.0000 0.0000
Sc1 Sc 0.0000 0.0000 0.5000

Stability comparison, relative energies in meV per atom: arrangement i 97; arrangement ii 0

Arrangement i

# PuMgSc4 | Alexandria | PBE-GGA | relaxed
# Crystal system ... orthorhombic
data_PuMgSc4
_chemical_formula_sum 'Pu2 Mg2 Sc8'
_cell_length_a 6.449
_cell_length_b 3.208
_cell_length_c 13.906
_cell_angle_alpha 90.00
_cell_angle_beta 90.00
_cell_angle_gamma 90.00
_space_group_name_H-M_alt 'P m m a'
_space_group_IT_number 51
loop_
_space_group_symop_operation_xyz
'x,y,z'
'-x,-y,-z'
'-x+1/2,-y,z'
'x+1/2,y,-z'
'x+1/2,-y,-z'
'-x+1/2,y,z'
'-x,y,-z'
'x,-y,z'
loop_
_atom_site_label
_atom_site_type_symbol
_atom_site_fract_x
_atom_site_fract_y
_atom_site_fract_z
Pu1 Pu 0.250 0.000 0.169
Mg1 Mg 0.250 0.000 0.500
Sc1 Sc 0.000 0.500 0.000
Sc2 Sc 0.002 0.500 0.334
Sc3 Sc 0.250 0.000 0.830

Arrangement ii

# PuMgSc4 | Alexandria | PBE-GGA | relaxed
# Crystal system ... tetragonal
data_PuMgSc4
_chemical_formula_sum 'Pu4 Mg4 Sc16'
_cell_length_a 10.288
_cell_length_b 10.288
_cell_length_c 6.402
_cell_angle_alpha 90.00
_cell_angle_beta 90.00
_cell_angle_gamma 90.00
_space_group_name_H-M_alt 'I 41 m d'
_space_group_IT_number 109
_space_group_name_Hall 'I 4bw -2'
loop_
_atom_site_label
_atom_site_type_symbol
_atom_site_fract_x
_atom_site_fract_y
_atom_site_fract_z
Pu1 Pu 0.000 0.000 0.000
Mg1 Mg 0.000 0.000 0.490
Sc1 Sc 0.000 0.229 0.773
Sc2 Sc 0.000 0.247 0.252

Stability comparison, relative energies in meV per atom: arrangement i 0; arrangement ii 651

Arrangement i

# Sm2PuMg | Alexandria | PBE-GGA | relaxed
# Crystal system ... trigonal
data_Sm2PuMg
_chemical_formula_sum 'Sm6 Pu3 Mg3'
_cell_length_a 3.3893
_cell_length_b 3.3893
_cell_length_c 36.7250
_cell_angle_alpha 90.00
_cell_angle_beta 90.00
_cell_angle_gamma 120.00
_space_group_name_H-M_alt 'R -3 m'
_space_group_IT_number 166
_space_group_name_Hall '-R 3 2"'
loop_
_atom_site_label
_atom_site_type_symbol
_atom_site_fract_x
_atom_site_fract_y
_atom_site_fract_z
Sm1 Sm 0.0000 0.0000 0.0902
Pu1 Pu 0.0000 0.0000 0.0000
Mg1 Mg 0.0000 0.0000 0.5000

Arrangement ii

# Sm2PuMg | Alexandria | PBE-GGA | relaxed
# Crystal system ... tetragonal
data_Sm2PuMg
_chemical_formula_sum 'Sm2 Pu1 Mg1'
_cell_length_a 3.533
_cell_length_b 3.533
_cell_length_c 9.456
_cell_angle_alpha 90.00
_cell_angle_beta 90.00
_cell_angle_gamma 90.00
_space_group_name_H-M_alt 'P 4/m m m'
_space_group_IT_number 123
_space_group_name_Hall '-P 4 2'
loop_
_atom_site_label
_atom_site_type_symbol
_atom_site_fract_x
_atom_site_fract_y
_atom_site_fract_z
Sm1 Sm 0.000 0.000 0.243
Pu1 Pu 0.500 0.500 0.500
Mg1 Mg 0.500 0.500 0.000

Stability comparison, relative energies in meV per atom: arrangement i 231; arrangement ii 0

Arrangement i

# Sm2PuMg | Alexandria | PBE-GGA | relaxed
# Crystal system ... tetragonal
data_Sm2PuMg
_chemical_formula_sum 'Sm2 Pu1 Mg1'
_cell_length_a 5.634
_cell_length_b 5.634
_cell_length_c 3.659
_cell_angle_alpha 90.00
_cell_angle_beta 90.00
_cell_angle_gamma 90.00
_space_group_name_H-M_alt 'P 4/m m m'
_space_group_IT_number 123
_space_group_name_Hall '-P 4 2'
loop_
_atom_site_label
_atom_site_type_symbol
_atom_site_fract_x
_atom_site_fract_y
_atom_site_fract_z
Sm1 Sm 0.000 0.500 0.000
Pu1 Pu 0.000 0.000 0.500
Mg1 Mg 0.500 0.500 0.500

Arrangement ii

# Sm2PuMg | Alexandria | PBE-GGA | relaxed
# Crystal system ... cubic
data_Sm2PuMg
_chemical_formula_sum 'Sm8 Pu4 Mg4'
_cell_length_a 7.818
_cell_length_b 7.818
_cell_length_c 7.818
_cell_angle_alpha 90.00
_cell_angle_beta 90.00
_cell_angle_gamma 90.00
_space_group_name_H-M_alt 'F m -3 m'
_space_group_IT_number 225
_space_group_name_Hall '-F 4 2 3'
loop_
_atom_site_label
_atom_site_type_symbol
_atom_site_fract_x
_atom_site_fract_y
_atom_site_fract_z
Sm1 Sm 0.250 0.250 0.250
Pu1 Pu 0.000 0.000 0.000
Mg1 Mg 0.000 0.000 0.500

Stability comparison, relative energies in meV per atom: arrangement i 0; arrangement ii 68